# Hf3ZrIr2 (PBE, optimized geometry)
data_Hf3ZrIr2
_chemical_formula_sum 'Hf6 Zr2 Ir4'
_space_group_name_H-M_alt 'P m c 21'
_space_group_IT_number 26
_space_group_name_Hall 'P 2c -2'
_cell_length_a 4.5170
_cell_length_b 8.1451
_cell_length_c 6.5912
_cell_angle_alpha 90.00
_cell_angle_beta 90.00
_cell_angle_gamma 90.00
loop_
_atom_site_label
_atom_site_fract_x
_atom_site_fract_y
_atom_site_fract_z
Hf1 0.0000 0.0734 0.0000
Hf2 0.0000 0.3311 0.3578
Hf3 0.5000 0.1679 0.6590
Zr1 0.5000 0.4255 0.0174
Ir1 0.0000 0.3364 0.7635
Ir2 0.5000 0.1589 0.2537
# N(E_F)   0.71 states/eV per atom
# Energy relative to the elements   -742.4 meV/atom
# Energy relative to the lowest polymorph listed for this composition   0 meV per atom
# Mass density   13.85 g/cm3